DFT (GGA-PBE) results for an optimized crystal structure of Sn2BBr.

Cell lengths 6.9436, 6.9436, 6.5190 Å; angles 57.82, 57.82, 90.00 degrees
With the nearest neighbours (Å) after each atom.
Positions (direct):
Sn 0.5228 0.1250 0.2500  2 B 2.28
Sn 0.8750 0.7728 0.7500  2 B 2.28
Sn 0.2272 0.6250 0.2500  2 B 2.28
Sn 0.3750 0.4772 0.7500  2 B 2.28
Br 0.7500 0.2500 0.5000  4 Sn 3.19
Br 0.0000 0.0000 0.0000  4 Sn 3.19
B 0.5000 0.5000 0.0000  4 Sn 2.28
B 0.2500 0.7500 0.5000  4 Sn 2.28

spin magnetization	0.00	μB per cell
raw formation energy	0.3884	eV/atom
crystal system	tetragonal
total DFT energy (no corrections)	-3.701	eV/atom

=====

DFT (GGA-PBE) results for an optimized crystal structure of SnBBr2.

Cell lengths 7.0118, 7.0118, 7.0043 Å; angles 59.96, 59.96, 90.00 degrees
With the nearest neighbours (Å) after each atom.
Positions (direct):
Br 0.3750 0.6248 0.7500  2 B 2.15
Br 0.3752 0.1250 0.2500  2 B 2.15
Br 0.8750 0.6252 0.7500  2 B 2.15
Br 0.3748 0.6250 0.2500  2 B 2.15
B 0.5000 0.5000 0.0000  4 Br 2.15
B 0.2500 0.7500 0.5000  4 Br 2.15
Sn 0.0000 0.0000 0.0000  12 Br 4.10-4.11, 4 Sn 4.29, 4 B 4.29
Sn 0.7500 0.2500 0.5000  12 Br 4.10-4.11, 4 Sn 4.29, 4 B 4.29

spin magnetization	0.00	μB per cell
raw formation energy	0.7783	eV/atom
crystal system	tetragonal
total DFT energy (no corrections)	-2.728	eV/atom

=====

DFT (GGA-PBE) results for an optimized crystal structure of SnB2Br8.

Cell lengths 10.1396, 10.6508, 10.7631 Å; angles 54.97, 61.90, 61.58 degrees
With the nearest neighbours (Å) after each atom.
Positions (direct):
Br 0.1603 0.4977 0.5604  1 B 2.10
Br 0.3648 0.5306 0.2001  1 B 2.06
Br 0.7414 0.8014 0.5190  1 B 2.04
Br 0.4689 0.7222 0.5066  1 B 1.96
Br 0.3023 0.2222 0.0066  1 B 1.96
Br 0.6352 0.4694 0.7999  1 B 2.06
Br 0.7817 0.9977 0.0604  1 B 2.10
Br 0.5311 0.2778 0.4934  1 B 1.96
Br 0.2183 0.0023 0.9396  1 B 2.10
Br 0.9045 0.0306 0.7001  1 B 2.06
Br 0.0618 0.6986 0.9810  1 B 2.04
Br 0.8397 0.5023 0.4396  1 B 2.10
Br 0.9382 0.3014 0.0190  1 B 2.04
Br 0.6977 0.7778 0.9934  1 B 1.96
Br 0.2586 0.1986 0.4810  1 B 2.04
Br 0.0955 0.9694 0.2999  1 B 2.06
Sn 0.0322 0.7500 0.2500  8 Br 3.06-3.24
Sn 0.9678 0.2500 0.7500  8 Br 3.06-3.24
B 0.1421 0.1304 0.0650  4 Br 1.96-2.10
B 0.8579 0.8696 0.9350  4 Br 1.96-2.10
B 0.3375 0.3696 0.4350  4 Br 1.96-2.10
B 0.6625 0.6304 0.5650  4 Br 1.96-2.10

spin magnetization	0.00	μB per cell
raw formation energy	-0.5406	eV/atom
crystal system	monoclinic
total DFT energy (no corrections)	-3.335	eV/atom

=====

DFT (GGA-PBE) results for an optimized crystal structure of SnBBr2.

Cell lengths 9.1690, 9.1690, 9.1690 Å; angles 22.51, 22.51, 22.51 degrees
With the nearest neighbours (Å) after each atom.
Positions (direct):
Sn 0.0000 0.0000 0.0000  2 Br 2.93
B 0.5000 0.5000 0.5000  6 Br 2.57
Br 0.8906 0.8906 0.8906  3 B 2.57
Br 0.1094 0.1094 0.1094  3 B 2.57

spin magnetization	0.00	μB per cell
raw formation energy	0.6339	eV/atom
crystal system	trigonal
total DFT energy (no corrections)	-2.873	eV/atom

=====

DFT (GGA-PBE) results for an optimized crystal structure of SnBBr2.

Cell lengths 5.1461, 5.1461, 5.1461 Å; angles 60.00, 60.00, 60.00 degrees
With the nearest neighbours (Å) after each atom.
Positions (direct):
B 0.0000 0.0000 0.0000  8 Br 3.15
Sn 0.5000 0.5000 0.5000  8 Br 3.15
Br 0.7500 0.7500 0.7500  4 Sn 3.15, 4 B 3.15
Br 0.2500 0.2500 0.2500  4 Sn 3.15, 4 B 3.15

spin magnetization	0.00	μB per cell
raw formation energy	0.7959	eV/atom
crystal system	cubic
total DFT energy (no corrections)	-2.711	eV/atom

=====

DFT (GGA-PBE) results for an optimized crystal structure of Sn3BBr.

Cell lengths 5.0390, 5.0390, 5.0390 Å; angles 90.00, 90.00, 90.00 degrees
With the nearest neighbours (Å) after each atom.
Positions (direct):
Sn 0.5000 0.0000 0.0000  2 B 2.52
Sn 0.0000 0.0000 0.5000  2 B 2.52
Sn 0.0000 0.5000 0.0000  2 B 2.52
B 0.0000 0.0000 0.0000  6 Sn 2.52
Br 0.5000 0.5000 0.5000  12 Sn 3.56

spin magnetization	0.00	μB per cell
raw formation energy	0.5329	eV/atom
crystal system	cubic
total DFT energy (no corrections)	-3.539	eV/atom

=====

DFT (GGA-PBE) results for an optimized crystal structure of SnBBr.

Cell lengths 3.7661, 4.9388, 10.1008 Å; angles 79.65, 90.00, 112.41 degrees
With the nearest neighbours (Å) after each atom.
Positions (direct):
Br 0.8292 0.6584 0.6704  2 Sn 2.84
Br 0.1708 0.3416 0.3296  2 Sn 2.84
Sn 0.7782 0.5563 0.1223  3 B 2.39-2.41
Sn 0.2218 0.4437 0.8777  3 B 2.39-2.41
B 0.4131 0.8261 0.0091  1 B 1.56
B 0.5869 0.1739 0.9909  1 B 1.56

spin magnetization	0.00	μB per cell
raw formation energy	0.2296	eV/atom
crystal system	monoclinic
total DFT energy (no corrections)	-3.888	eV/atom

=====

DFT (GGA-PBE) results for an optimized crystal structure of VSn2BBr.

Cell lengths 5.6640, 4.6457, 5.6640 Å; angles 90.00, 90.00, 90.00 degrees
With the nearest neighbours (Å) after each atom.
Positions (direct):
Br 0.0000 0.0000 0.0000  2 V 2.32
V 0.0000 0.5000 0.0000  2 Br 2.32
Sn 0.5000 0.0000 0.0000  2 Br 2.83
Sn 0.0000 0.0000 0.5000  2 Br 2.83
B 0.5000 0.5000 0.5000  8 Sn 3.66, 4 V 4.01

spin magnetization	2.69	μB per cell
raw formation energy	1.7022	eV/atom
crystal system	tetragonal
total DFT energy (no corrections)	-3.393	eV/atom

=====

DFT (GGA-PBE) results for an optimized crystal structure of ZnSnB2Br.

Cell lengths 4.3300, 5.2889, 4.3300 Å; angles 90.00, 90.00, 90.00 degrees
With the nearest neighbours (Å) after each atom.
Positions (direct):
B 0.0000 0.0000 0.5000  2 Br 2.17
B 0.5000 0.0000 0.0000  2 Br 2.17
Br 0.0000 0.0000 0.0000  4 B 2.17
Sn 0.5000 0.5000 0.5000  4 Zn 3.06, 8 B 3.42
Zn 0.0000 0.5000 0.0000  2 Br 2.64

spin magnetization	0.00	μB per cell
raw formation energy	1.8128	eV/atom
crystal system	tetragonal
total DFT energy (no corrections)	-2.248	eV/atom

=====

DFT (GGA-PBE) results for an optimized crystal structure of SrB3Br.

Cell lengths 4.4421, 4.4421, 4.4421 Å; angles 90.00, 90.00, 90.00 degrees
With the nearest neighbours (Å) after each atom.
Positions (direct):
B 0.0000 0.5000 0.0000  2 Br 2.22
B 0.5000 0.0000 0.0000  2 Br 2.22
B 0.0000 0.0000 0.5000  2 Br 2.22
Sr 0.5000 0.5000 0.5000  12 B 3.14
Br 0.0000 0.0000 0.0000  6 B 2.22

spin magnetization	0.00	μB per cell
raw formation energy	1.9741	eV/atom
crystal system	cubic
total DFT energy (no corrections)	-2.703	eV/atom

=====

DFT (GGA-PBE) results for an optimized crystal structure of SrB3Br.

Cell lengths 5.4025, 5.4025, 5.4025 Å; angles 90.00, 90.00, 90.00 degrees
With the nearest neighbours (Å) after each atom.
Positions (direct):
B 0.5000 0.0000 0.0000  2 Sr 2.70
B 0.0000 0.0000 0.5000  2 Sr 2.70
B 0.0000 0.5000 0.0000  2 Sr 2.70
Sr 0.0000 0.0000 0.0000  6 B 2.70
Br 0.5000 0.5000 0.5000  12 B 3.82

spin magnetization	1.42	μB per cell
raw formation energy	2.6548	eV/atom
crystal system	cubic
total DFT energy (no corrections)	-2.023	eV/atom

=====

DFT (GGA-PBE) results for an optimized crystal structure of SrYB2Br.

Cell lengths 4.8015, 5.5963, 4.8015 Å; angles 90.00, 90.00, 90.00 degrees
With the nearest neighbours (Å) after each atom.
Positions (direct):
Sr 0.5000 0.5000 0.5000  4 Br 3.40, 8 B 3.69
Br 0.0000 0.5000 0.0000  2 Y 2.80
B 0.0000 0.0000 0.5000  2 Y 2.40
B 0.5000 0.0000 0.0000  2 Y 2.40
Y 0.0000 0.0000 0.0000  4 B 2.40

spin magnetization	0.00	μB per cell
raw formation energy	0.5361	eV/atom
crystal system	tetragonal
total DFT energy (no corrections)	-4.099	eV/atom